Record 1
Computed, not measured: CaTcSe after structural relaxation at the PBE-GGA level of DFT.

Cell lengths 10.444, 4.083, 7.293 Å; angles 90.00, 109.85, 90.00 degrees
Positions (direct):
Ca (0.323, 0.000, 0.157)
Ca (0.323, 0.500, 0.657)
Ca (0.966, 0.000, 0.320)
Ca (0.966, 0.500, 0.820)
Tc (0.707, 0.000, 0.861)
Tc (0.707, 0.500, 0.361)
Tc (0.730, 0.000, 0.536)
Tc (0.730, 0.500, 0.036)
Se (0.150, 0.000, 0.741)
Se (0.150, 0.500, 0.241)
Se (0.493, 0.000, 0.570)
Se (0.493, 0.500, 0.070)

Calculated values
density = 4.93 Mg/m³
E_form (uncorrected) = -66.6 kJ/mol of atoms
symmetry = Cm (8)


Record 2
Computed, not measured: K3SrAs after structural relaxation at the PBE-GGA level of DFT.

Cell lengths 7.268, 7.268, 7.268 Å; angles 90.00, 90.00, 90.00 degrees
Positions (direct):
Sr (0.000, 0.000, 0.000)
As (0.500, 0.500, 0.500)
K (0.000, 0.500, 0.000)
K (0.000, 0.000, 0.500)
K (0.500, 0.000, 0.000)

Calculated values
density = 1.21 Mg/m³
E = -1.076 eV/atom
symmetry = Pm-3m (221)


Record 3
Computed, not measured: HgSIN2 after structural relaxation at the PBE-GGA level of DFT.

Cell lengths 4.181, 4.181, 8.125 Å; angles 90.00, 90.00, 90.00 degrees
Positions (direct):
I (0.000, 0.000, 0.500)
S (0.500, 0.500, 0.500)
Hg (0.000, 0.000, 0.000)
N (0.000, 0.500, 0.000)
N (0.500, 0.000, 0.000)

Calculated values
density = 4.53 Mg/m³
E_form (uncorrected) = 187.8 kJ/mol of atoms
symmetry = P4/mmm (123)


Q: The highest density belongs to which entry?
A: CaTcSe


Q: Among the records above, which one has the highest density?
A: CaTcSe


Q: Number 2 is which compound?
A: K3SrAs


Q: Number 2 is which compound?
A: K3SrAs